Density functional theory data (PBE) for a geometry-optimized CsCaTaO4 structure.

Lattice parameters (Å, degrees): 6.222 6.343 8.072 90.00 106.68 90.00
Sites, in units of the cell vectors:
1 Cs 0.209 0.250 0.438
2 Cs 0.791 0.750 0.562
3 Ca 0.314 0.250 0.963
4 Ca 0.686 0.750 0.037
5 Ta 0.223 0.750 0.143
6 Ta 0.777 0.250 0.857
7 O 0.010 0.750 0.930
8 O 0.045 0.750 0.294
9 O 0.425 0.524 0.159
10 O 0.425 0.976 0.159
11 O 0.575 0.024 0.841
12 O 0.575 0.476 0.841
13 O 0.955 0.250 0.706
14 O 0.990 0.250 0.070

## Properties
Formation energy without anion corrections, kJ per mole of atoms: -258